Below is KBaAl3 after structural relaxation, with properties calculated at the GGA-PBE level.

Energy above the lowest structure with this stoichiometry = 0.00 kJ/mol of atoms
Calculated density = 2.259 Mg/m³
E = -1.94 eV/atom
Magnetization = 0.0 μB per cell
DFT formation energy = 0.915 eV per atom
SG = Pm-3m
Calculated volume = 37.8 Å³/atom

a = 5.7407 Å, b = 5.7407 Å, c = 5.7407 Å
α = 90.00°, β = 90.00°, γ = 90.00°
With the nearest neighbours (Å) after each atom.
Fractional coordinates of all 5 atoms:
Al  0.5000  0.0000  0.0000  2 K 2.87
Al  0.0000  0.5000  0.0000  2 K 2.87
Al  0.0000  0.0000  0.5000  2 K 2.87
K  0.0000  0.0000  0.0000  6 Al 2.87
Ba  0.5000  0.5000  0.5000  12 Al 4.06

***

Below is Pr2PtO4F after structural relaxation, with properties calculated at the GGA-PBE level.

Calculated density = 8.578 Mg/m³
Raw formation energy = -19.406 eV/f.u.
E = -7.09 eV/atom
Magnetization = 0.0 μB per cell
SG = C2/m
Calculated volume = 13.5 Å³/atom

a = 3.6101 Å, b = 5.1587 Å, c = 6.8787 Å
α = 65.79°, β = 74.79°, γ = 69.52°
With the nearest neighbours (Å) after each atom.
Fractional coordinates of all 8 atoms:
O  0.8416  0.0037  0.3130  1 Pt 2.08
O  0.6168  0.7115  0.0549  2 Pt 2.23, 1 Pr 2.39
O  0.3832  0.2885  0.9451  2 Pt 2.23, 1 Pr 2.39
O  0.1584  0.9963  0.6870  1 Pt 2.08
Pr  0.8151  0.6611  0.7086  6 O 2.39-2.64, 2 F 2.56
Pr  0.1849  0.3389  0.2914  6 O 2.39-2.64, 2 F 2.56
Pt  0.0000  0.0000  0.0000  6 O 2.08-2.23
F  0.5000  0.5000  0.5000  4 Pr 2.56, 2 O 2.77

***

Below is DyPaOs2 after structural relaxation, with properties calculated at the GGA-PBE level.

Energy above the lowest structure with this stoichiometry = 35.87 kJ/mol of atoms
Calculated density = 14.637 Mg/m³
E = -9.04 eV/atom
Magnetization = 0.0 μB per cell
DFT formation energy = 0.095 eV per atom
SG = R-3m
Calculated volume = 22.0 Å³/atom

a = 3.6495 Å, b = 3.6495 Å, c = 7.8989 Å
α = 76.64°, β = 76.64°, γ = 60.00°
With the nearest neighbours (Å) after each atom.
Fractional coordinates of all 4 atoms:
Os  0.2561  0.2561  0.2318  3 Pa 2.75, 3 Dy 2.93
Os  0.7439  0.7439  0.7682  3 Pa 2.75, 3 Dy 2.93
Pa  0.0000  0.0000  0.0000  6 Os 2.75
Dy  0.5000  0.5000  0.5000  6 Os 2.93

***

Below is RbTbIrO6 after structural relaxation, with properties calculated at the GGA-PBE level.

Calculated density = 5.161 Mg/m³
Raw formation energy = -13.116 eV/f.u.
E = -6.37 eV/atom
Magnetization = 0.7 μB per cell
SG = P312
Calculated volume = 19.0 Å³/atom

a = 5.6636 Å, b = 5.6635 Å, c = 6.1695 Å
α = 90.00°, β = 90.00°, γ = 60.00°
With the nearest neighbours (Å) after each atom.
Fractional coordinates of all 9 atoms:
O  0.3580  0.5943  0.3231  1 Ir 1.90
O  0.0476  0.5944  0.6769  1 Ir 1.90
O  0.0477  0.3580  0.3231  1 Ir 1.90
O  0.5944  0.0476  0.3231  1 Ir 1.90
O  0.5943  0.3580  0.6769  1 Ir 1.90
O  0.3579  0.0477  0.6769  1 Ir 1.90
Tb  0.6666  0.6667  0.5000  6 O 2.27
Rb  0.0000  0.0000  0.0000  6 O 2.95
Ir  0.3333  0.3334  0.5000  6 O 1.90

***

Below is TbPmPu2 after structural relaxation, with properties calculated at the GGA-PBE level.

Energy above the lowest structure with this stoichiometry = 0.00 kJ/mol of atoms
Calculated density = 10.993 Mg/m³
E = -9.31 eV/atom
Magnetization = 12.6 μB per cell
DFT formation energy = 0.204 eV per atom
SG = P4/mmm
Calculated volume = 29.9 Å³/atom

a = 5.0523 Å, b = 4.8659 Å, c = 4.8659 Å
α = 90.00°, β = 90.00°, γ = 90.00°
With the nearest neighbours (Å) after each atom.
Fractional coordinates of all 4 atoms:
Pm  0.5000  0.0000  0.0000  4 Tb 3.44, 8 Pu 3.51
Pu  0.0000  0.5000  0.0000  4 Pu 3.44, 4 Tb 3.51, 4 Pm 3.51
Pu  0.0000  0.0000  0.5000  4 Pu 3.44, 4 Tb 3.51, 4 Pm 3.51
Tb  0.5000  0.5000  0.5000  4 Pm 3.44, 8 Pu 3.51

***

Below is Rb3SnAu after structural relaxation, with properties calculated at the GGA-PBE level.

Energy above the lowest structure with this stoichiometry = 0.00 kJ/mol of atoms
Calculated density = 4.051 Mg/m³
E = -2.15 eV/atom
Magnetization = 0.0 μB per cell
DFT formation energy = -0.116 eV per atom
SG = C2/m
Calculated volume = 46.9 Å³/atom

a = 8.3890 Å, b = 8.3890 Å, c = 8.6967 Å
α = 109.34°, β = 118.19°, γ = 99.62°
With the nearest neighbours (Å) after each atom.
Fractional coordinates of all 10 atoms:
Au  0.6043  0.7966  0.4009  2 Sn 2.75-2.79
Au  0.3957  0.2034  0.5991  2 Sn 2.75-2.79
Sn  0.6811  0.0626  0.7437  2 Au 2.75-2.79
Sn  0.3189  0.9374  0.2563  2 Au 2.75-2.79
Rb  0.7666  0.5884  0.7492  2 Au 3.44-3.81
Rb  0.8392  0.0174  0.2508  2 Au 3.44-3.81
Rb  0.2776  0.5557  0.8333  2 Au 3.57-3.84, 1 Sn 3.81, 1 Rb 3.99
Rb  0.1608  0.9826  0.7492  2 Au 3.44-3.81
Rb  0.7224  0.4443  0.1667  2 Au 3.57-3.84, 1 Sn 3.81, 1 Rb 3.99
Rb  0.2334  0.4116  0.2508  2 Au 3.44-3.81

***

Below is Nd3Dy4Er2 after structural relaxation, with properties calculated at the GGA-PBE level.

Energy above the lowest structure with this stoichiometry = 0.00 kJ/mol of atoms
Calculated density = 8.060 Mg/m³
E = -4.63 eV/atom
Magnetization = 0.0 μB per cell
DFT formation energy = 0.018 eV per atom
SG = P-1
Calculated volume = 32.4 Å³/atom

a = 6.1890 Å, b = 6.1997 Å, c = 12.9030 Å
α = 118.67°, β = 103.94°, γ = 119.91°
With the nearest neighbours (Å) after each atom.
Fractional coordinates of all 9 atoms:
Nd  0.0000  0.0000  0.0000  8 Dy 3.57-3.59, 2 Er 3.58, 2 Nd 3.59
Nd  0.4455  0.8898  0.3336  6 Dy 3.57-3.60, 4 Er 3.57-3.58, 2 Nd 3.58-3.59
Nd  0.5545  0.1102  0.6664  6 Dy 3.57-3.60, 4 Er 3.57-3.58, 2 Nd 3.58-3.59
Dy  0.8902  0.7800  0.6668  5 Nd 3.57-3.60, 4 Er 3.57-3.58, 3 Dy 3.57-3.58
Dy  0.6648  0.3318  0.9998  5 Nd 3.57-3.59, 5 Dy 3.57-3.59, 2 Er 3.58-3.59
Dy  0.3352  0.6682  0.0002  5 Nd 3.57-3.59, 5 Dy 3.57-3.59, 2 Er 3.58-3.59
Dy  0.1098  0.2200  0.3332  5 Nd 3.57-3.60, 4 Er 3.57-3.58, 3 Dy 3.57-3.58
Er  0.7787  0.5568  0.3338  6 Dy 3.57-3.59, 5 Nd 3.57-3.58, 1 Er 3.58
Er  0.2213  0.4432  0.6662  6 Dy 3.57-3.59, 5 Nd 3.57-3.58, 1 Er 3.58

***

Below is Al2ZnPd6 after structural relaxation, with properties calculated at the GGA-PBE level.

Calculated density = 8.432 Mg/m³
E = -4.97 eV/atom
Magnetization = 0.0 μB per cell
DFT formation energy = -0.535 eV per atom
SG = C2/m
Calculated volume = 16.6 Å³/atom

a = 4.0984 Å, b = 5.8419 Å, c = 7.1886 Å
α = 113.97°, β = 106.74°, γ = 90.00°
With the nearest neighbours (Å) after each atom.
Fractional coordinates of all 9 atoms:
Zn  0.0000  0.0000  0.0000  8 Pd 2.54-2.56
Pd  0.8321  0.0821  0.6634  3 Al 2.51-2.53, 1 Zn 2.56
Pd  0.5000  0.7443  0.0000  2 Al 2.52, 2 Zn 2.54
Pd  0.8321  0.5813  0.6634  3 Al 2.51-2.53, 1 Zn 2.56
Pd  0.1679  0.9179  0.3366  3 Al 2.51-2.53, 1 Zn 2.56
Pd  0.5000  0.2557  0.0000  2 Al 2.52, 2 Zn 2.54
Pd  0.1679  0.4187  0.3366  3 Al 2.51-2.53, 1 Zn 2.56
Al  0.6656  0.6662  0.3325  8 Pd 2.51-2.53
Al  0.3344  0.3338  0.6675  8 Pd 2.51-2.53

***

- Which of these has the highest calculated volume?
  Rb3SnAu

***

- What is the calculated density in the seventh record?
  8.060 Mg/m³

***

Repeat the sixth record exactly.
Below is Rb3SnAu after structural relaxation, with properties calculated at the GGA-PBE level.

Energy above the lowest structure with this stoichiometry = 0.00 kJ/mol of atoms
Calculated density = 4.051 Mg/m³
E = -2.15 eV/atom
Magnetization = 0.0 μB per cell
DFT formation energy = -0.116 eV per atom
SG = C2/m
Calculated volume = 46.9 Å³/atom

a = 8.3890 Å, b = 8.3890 Å, c = 8.6967 Å
α = 109.34°, β = 118.19°, γ = 99.62°
With the nearest neighbours (Å) after each atom.
Fractional coordinates of all 10 atoms:
Au  0.6043  0.7966  0.4009  2 Sn 2.75-2.79
Au  0.3957  0.2034  0.5991  2 Sn 2.75-2.79
Sn  0.6811  0.0626  0.7437  2 Au 2.75-2.79
Sn  0.3189  0.9374  0.2563  2 Au 2.75-2.79
Rb  0.7666  0.5884  0.7492  2 Au 3.44-3.81
Rb  0.8392  0.0174  0.2508  2 Au 3.44-3.81
Rb  0.2776  0.5557  0.8333  2 Au 3.57-3.84, 1 Sn 3.81, 1 Rb 3.99
Rb  0.1608  0.9826  0.7492  2 Au 3.44-3.81
Rb  0.7224  0.4443  0.1667  2 Au 3.57-3.84, 1 Sn 3.81, 1 Rb 3.99
Rb  0.2334  0.4116  0.2508  2 Au 3.44-3.81

***

Please write out number 8 again, unchanged.
Below is Al2ZnPd6 after structural relaxation, with properties calculated at the GGA-PBE level.

Calculated density = 8.432 Mg/m³
E = -4.97 eV/atom
Magnetization = 0.0 μB per cell
DFT formation energy = -0.535 eV per atom
SG = C2/m
Calculated volume = 16.6 Å³/atom

a = 4.0984 Å, b = 5.8419 Å, c = 7.1886 Å
α = 113.97°, β = 106.74°, γ = 90.00°
With the nearest neighbours (Å) after each atom.
Fractional coordinates of all 9 atoms:
Zn  0.0000  0.0000  0.0000  8 Pd 2.54-2.56
Pd  0.8321  0.0821  0.6634  3 Al 2.51-2.53, 1 Zn 2.56
Pd  0.5000  0.7443  0.0000  2 Al 2.52, 2 Zn 2.54
Pd  0.8321  0.5813  0.6634  3 Al 2.51-2.53, 1 Zn 2.56
Pd  0.1679  0.9179  0.3366  3 Al 2.51-2.53, 1 Zn 2.56
Pd  0.5000  0.2557  0.0000  2 Al 2.52, 2 Zn 2.54
Pd  0.1679  0.4187  0.3366  3 Al 2.51-2.53, 1 Zn 2.56
Al  0.6656  0.6662  0.3325  8 Pd 2.51-2.53
Al  0.3344  0.3338  0.6675  8 Pd 2.51-2.53